Density functional theory data (PBE-GGA) for In2CoAs after structural relaxation.

Lattice parameters (Å, degrees): 3.0211 3.0547 8.3578 90.00 90.00 90.00
With the nearest neighbours (Å) after each atom.
Fractional coordinates of all 4 atoms:
In  0.0000  0.0000  0.1960  4 Co 2.70, 2 As 2.96, 2 In 3.02
In  0.0000  0.0000  0.8040  4 Co 2.70, 2 As 2.96, 2 In 3.02
Co  0.5000  0.5000  0.0000  8 In 2.70, 2 Co 3.02
As  0.0000  0.5000  0.5000  4 In 2.96, 4 As 3.02-3.05

**Total DFT energy (no corrections)**: -4.163 eV per atom
**M_tot**: 0.0591 μB/atom
**Formation energy**: 0.145 eV/atom